This record from the Alexandria database describes a relaxed structure of PrSm2Y4Er2. The functional is PBE.

abc: 3.6203 9.5537 9.6122
angles: 115.18 90.00 100.92
Positions (direct):
Y 0.5191 0.0382 0.3347
Sm 0.8515 0.7030 0.3324
Y 0.8144 0.6289 0.6662
Y 0.1856 0.3711 0.3338
Pr 0.0000 0.0000 0.0000
Sm 0.1485 0.2970 0.6676
Er 0.3318 0.6636 0.9987
Y 0.4809 0.9618 0.6653
Er 0.6682 0.3364 0.0013

## Properties
Space group: C2/m (12)
Energy in Ry/atom: -0.4015
Energy of formation from the pure elements in eV/atom: 0.004
V in Å³/atom: 32.7
Density in kg/m3: 6388


This record from the Alexandria database describes a relaxed structure of TePt. The functional is PBE.

abc: 5.6860 5.6860 5.6860
angles: 137.65 137.65 61.44
Positions (direct):
Te 0.7500 0.2500 0.5000
Pt 0.0000 0.0000 0.0000
Pt 0.2500 0.7500 0.5000
Te 0.5000 0.5000 0.0000

## Properties
Space group: I4_1/amd (141)
Energy in Ry/atom: -0.3209
V in Å³/atom: 20.6
Density in kg/m3: 12993
Energy relative to the elements, uncorrected in eV per atom: 0.23


This record from the Alexandria database describes a relaxed structure of Rb2NaBiSe. The functional is PBE.

abc: 6.9948 5.9161 6.9948
angles: 90.00 90.00 90.00
Last column: magnetic moment on the atom in μB.
Positions (direct):
Se 0.5000 0.5000 0.5000  0.45
Rb 0.5000 0.0000 0.0000  0.02
Bi 0.0000 0.0000 0.0000  0.67
Na 0.0000 0.5000 0.0000  0.00
Rb 0.0000 0.0000 0.5000  0.03

## Properties
Space group: P4/mmm (123)
Energy in Ry/atom: -0.1607
V in Å³/atom: 57.9
Density in kg/m3: 2764
Energy relative to the elements, uncorrected in eV per atom: -0.06


This record from the Alexandria database describes a relaxed structure of KPIr2. The functional is PBE.

abc: 5.9747 5.9747 5.9747
angles: 153.43 124.14 62.90
Positions (direct):
Ir 0.2014 0.7014 0.5000
K 0.5177 0.5177 0.0000
P 0.7997 0.2997 0.5000
Ir 0.9811 0.9811 0.0000

## Properties
Space group: Imm2 (44)
Energy in Ry/atom: -0.4096
Energy of formation from the pure elements in eV/atom: 0.484
V in Å³/atom: 19.6
Density in kg/m3: 9634


This record from the Alexandria database describes a relaxed structure of TlPbBr3. The functional is PBE.

abc: 4.5103 9.0007 9.4188
angles: 95.42 90.00 90.00
Positions (direct):
Br 0.7500 0.2998 0.9555
Br 0.2500 0.3733 0.6067
Tl 0.2500 0.3725 0.1987
Br 0.7500 0.6267 0.3933
Tl 0.7500 0.6275 0.8013
Br 0.2500 0.9198 0.6764
Pb 0.2500 0.8383 0.3402
Br 0.2500 0.7002 0.0445
Br 0.7500 0.0802 0.3236
Pb 0.7500 0.1617 0.6598

## Properties
Space group: P2_1/m (11)
Energy in Ry/atom: -0.2287
V in Å³/atom: 38.1
Density in kg/m3: 5682
Energy relative to the elements, uncorrected in eV per atom: -0.89


This record from the Alexandria database describes a relaxed structure of SrBeCoMo2. The functional is PBE.

abc: 4.2860 5.2504 4.2860
angles: 90.00 90.00 90.00
Last column: magnetic moment on the atom in μB.
Positions (direct):
Sr 0.0000 0.5000 0.0000  -0.03
Be 0.0000 0.0000 0.0000  -0.01
Mo 0.5000 0.0000 0.0000  0.23
Co 0.5000 0.5000 0.5000  1.71
Mo 0.0000 0.0000 0.5000  0.23

## Properties
Space group: P4/mmm (123)
Energy in Ry/atom: -0.4012
Energy of formation from the pure elements in eV/atom: 1.376
V in Å³/atom: 19.3
Density in kg/m3: 5982


This record from the Alexandria database describes a relaxed structure of PaMn2Pt. The functional is PBE.

abc: 3.8294 4.1502 4.1502
angles: 90.00 90.00 90.00
Last column: magnetic moment on the atom in μB.
Positions (direct):
Pa 0.5000 0.5000 0.5000  -0.68
Mn 0.0000 0.0000 0.5000  2.59
Pt 0.5000 0.0000 0.0000  0.07
Mn 0.0000 0.5000 0.0000  2.59

## Properties
Space group: P4/mmm (123)
Energy in Ry/atom: -0.6444
Energy of formation from the pure elements in eV/atom: -0.299
V in Å³/atom: 16.5
Density in kg/m3: 13494


This record from the Alexandria database describes a relaxed structure of CaPaNiN3. The functional is PBE.

abc: 3.5035 7.0329 7.3370
angles: 96.81 90.00 90.00
Last column: magnetic moment on the atom in μB.
Positions (direct):
N 0.2500 0.1461 0.8616  0.05
N 0.2500 0.5711 0.8621  0.01
Ni 0.7500 0.9181 0.4116  0.49
N 0.7500 0.8539 0.1384  0.05
Ni 0.2500 0.0819 0.5884  0.49
N 0.7500 0.4289 0.1379  0.01
N 0.7500 0.1779 0.5236  0.14
Ca 0.7500 0.8414 0.8064  0.01
N 0.2500 0.8221 0.4764  0.14
Pa 0.7500 0.3477 0.8238  0.05
Pa 0.2500 0.6523 0.1762  0.05
Ca 0.2500 0.1586 0.1936  0.01

## Properties
Space group: P2_1/m (11)
Energy in Ry/atom: -0.5850
V in Å³/atom: 15.0
Density in kg/m3: 6879
Energy relative to the elements, uncorrected in eV per atom: -0.92


- The highest density belongs to which entry?
  PaMn2Pt